The following is a DFT calculation (meta-GGA SCAN) of a crystal of MgNbAsBr2 relaxed with PBEsol.

For the total energy, the calculation gives -95.86 eV for the cell shown. As for the formation energy from raw total energies: 0.27 eV per atom. The density of states at the Fermi level comes out at 4.33 states/eV per cell.

Unit cell a=4.8311 b=4.8311 c=5.2863 alpha=90.00 beta=90.00 gamma=90.00
Last column: nearest neighbours and their distance in Å.
Fractional positions:
1 Mg 0.0000 0.0000 0.0000  4 Br 2.42, 2 As 2.64
2 Nb 0.5000 0.5000 0.5000  4 As 3.42, 8 Br 3.58
3 As 0.0000 0.0000 0.5000  2 Mg 2.64
4 Br 0.0000 0.5000 0.0000  2 Mg 2.42
5 Br 0.5000 0.0000 0.0000  2 Mg 2.42